Tc3Ag5 | PBE-GGA | relaxed

Lattice parameters (Å, degrees): 5.4643 10.4819 5.4997 97.00 117.86 74.89
Last column: magnetic moment on the atom in μB.
Fractional positions:
Tc 0.7588 0.0322 0.0316  0.00
Tc 0.3099 0.0236 0.5184  0.00
Tc 0.6563 0.5000 0.9179  0.31
Tc 0.8334 0.9764 0.5184  0.00
Tc 0.2910 0.9678 0.0316  0.00
Tc 0.0564 0.5000 0.9167  0.59
Ag 0.9416 0.2209 0.7804  0.00
Ag 0.4351 0.2227 0.2792  0.00
Ag 0.1231 0.5000 0.4473  0.01
Ag 0.6625 0.7791 0.7804  0.00
Ag 0.5811 0.5000 0.3839  0.00
Ag 0.4134 0.2760 0.7831  0.01
Ag 0.1579 0.7773 0.2792  0.00
Ag 0.9146 0.2673 0.2778  0.01
Ag 0.1894 0.7240 0.7831  0.01
Ag 0.6820 0.7327 0.2778  0.01

Summary:
Excess energy over the best structure of this formula in the dataset: 0 meV per atom
Magnetic moment: 0.525 μB/f.u.
SG: Cm
Energy of formation: 0.528 eV per atom